Li4In2Pb5: relaxed, PBE.

Calculated values
The energy of formation from the pure elements is -0.157 eV per atom. Its crystal system is triclinic.

Unit cell a=4.7851 b=10.6743 c=6.0070 alpha=78.93 beta=112.91 gamma=89.72
With the nearest neighbours (Å) after each atom.
Positions (direct):
Pb 0.7814 0.0988 0.5623  4 Li 3.12-3.21, 1 In 3.15, 5 Pb 3.34-3.49
Li 0.6852 0.7238 0.3680  6 Pb 3.11-3.21, 1 In 3.17, 3 Li 3.37-3.48
Pb 0.2185 0.9012 0.4377  4 Li 3.12-3.21, 1 In 3.15, 5 Pb 3.34-3.49
In 0.4245 0.6463 0.8449  3 Li 3.08-3.17, 5 Pb 3.15-3.41, 1 In 3.23
Pb 0.1427 0.5505 0.2818  4 Li 3.11-3.15, 5 In 3.33-3.48, 2 Pb 3.41
Pb 0.5000 0.0000 0.0000  6 Li 3.17-3.21, 6 Pb 3.40-3.49
Li 0.0420 0.1810 0.0879  2 In 3.08-3.10, 5 Pb 3.15-3.21, 1 Li 3.37
Pb 0.8573 0.4495 0.7182  4 Li 3.11-3.15, 5 In 3.33-3.48, 2 Pb 3.41
Li 0.3148 0.2762 0.6320  6 Pb 3.11-3.21, 1 In 3.17, 3 Li 3.37-3.48
Li 0.9580 0.8190 0.9121  2 In 3.08-3.10, 5 Pb 3.15-3.21, 1 Li 3.37
In 0.5755 0.3537 0.1551  3 Li 3.08-3.17, 5 Pb 3.15-3.41, 1 In 3.23

***

Ni2GeN: relaxed, PBE.

Calculated values
Its crystal system is cubic. As for the energy relative to the elements, uncorrected: 15.8 kcal/mol of atoms.

Unit cell a=3.9400 b=3.9400 c=3.9400 alpha=60.00 beta=60.00 gamma=60.00
With the nearest neighbours (Å) after each atom.
Positions (direct):
Ge 0.5000 0.5000 0.5000  8 Ni 2.41
Ni 0.2500 0.2500 0.2500  4 Ge 2.41, 4 N 2.41
N 0.0000 0.0000 0.0000  8 Ni 2.41
Ni 0.7500 0.7500 0.7500  4 Ge 2.41, 4 N 2.41

***

Cs3Na2LaF9: relaxed, PBE.

Calculated values
Its crystal system is trigonal. As for the energy relative to the elements, uncorrected: -67.5 kcal/mol of atoms.

Unit cell a=6.5386 b=6.5386 c=8.2424 alpha=90.00 beta=90.00 gamma=120.00
With the nearest neighbours (Å) after each atom.
Positions (direct):
F 0.0000 0.5000 0.0000  2 Na 2.37
F 0.5000 0.0000 0.0000  2 Na 2.37
F 0.3286 0.1643 0.6677  1 Na 2.32, 1 La 2.32
Na 0.6667 0.3333 0.8257  6 F 2.32-2.37
F 0.1643 0.8357 0.3323  1 Na 2.32, 1 La 2.32
Cs 0.3333 0.6667 0.6989  9 F 3.12-3.28
F 0.1643 0.3286 0.3323  1 Na 2.32, 1 La 2.32
Cs 0.0000 0.0000 0.0000  12 F 3.27-3.31
F 0.8357 0.6714 0.6677  1 Na 2.32, 1 La 2.32
La 0.0000 0.0000 0.5000  6 F 2.32
F 0.8357 0.1643 0.6677  1 Na 2.32, 1 La 2.32
F 0.5000 0.5000 0.0000  2 Na 2.37
Na 0.3333 0.6667 0.1743  6 F 2.32-2.37
F 0.6714 0.8357 0.3323  1 Na 2.32, 1 La 2.32
Cs 0.6667 0.3333 0.3011  9 F 3.12-3.28

***

ZrIn2FePt: relaxed, PBE.

Calculated values
The energy of formation from the pure elements is 0.729 eV per atom. Its crystal system is tetragonal.

Unit cell a=5.0082 b=4.6406 c=5.0082 alpha=90.00 beta=90.00 gamma=90.00
With the nearest neighbours (Å) after each atom.
Positions (direct):
In 0.5000 0.0000 0.0000  2 Pt 2.50
In 0.0000 0.0000 0.5000  2 Pt 2.50
Zr 0.5000 0.5000 0.5000  8 In 3.41, 4 Fe 3.54
Pt 0.0000 0.0000 0.0000  2 Fe 2.32, 4 In 2.50
Fe 0.0000 0.5000 0.0000  2 Pt 2.32

***

What are the total DFT energy (no corrections) values for these records? In order: -0.2232; -0.3998; -0.3473; -0.3658 Ry per atom.
What are the V values for these records? In order: 276.28; 43.25; 305.18; 116.40 Å³/f.u..